Record 1
VASP calculation (PBEsol) on Cs3CdIr after structural relaxation.

energy relative to the elements	65.9	kJ/mol of atoms
VASP energy	-10.43	eV for the cell shown

Cell: 6.1101 6.1101 6.1101 Å, 90.00 90.00 90.00°
Fractional coordinates of all 5 atoms:
Cs 0.0000 0.0000 0.5000
Cs 0.0000 0.5000 0.0000
Cs 0.5000 0.0000 0.0000
Cd 0.5000 0.5000 0.5000
Ir 0.0000 0.0000 0.0000

Record 2
VASP calculation (PBEsol) on Sb2PtSe after structural relaxation.

VASP energy	-18.98	eV for the cell shown
energy relative to the elements, uncorrected	0.236	eV per atom

Cell: 3.4278 4.6762 5.2357 Å, 90.00 90.00 90.00°
Fractional coordinates of all 4 atoms:
Sb 0.0000 0.0000 0.0000
Sb 0.5000 0.0000 0.5000
Pt 0.0000 0.5000 0.5000
Se 0.5000 0.5000 0.0000

Record 3
VASP calculation (PBEsol) on PAu2C after structural relaxation.

energy relative to the elements	95.8	kJ/mol of atoms
VASP energy	-38.62	eV for the cell shown

Cell: 7.0006 7.0006 7.0006 Å, 141.48 141.48 55.62°
Fractional coordinates of all 8 atoms:
P 0.0000 0.0000 0.0000
P 0.7500 0.2500 0.5000
Au 0.2009 0.6250 0.0759
Au 0.3750 0.4509 0.5759
Au 0.5491 0.1250 0.9241
Au 0.8750 0.7991 0.4241
C 0.2500 0.7500 0.5000
C 0.5000 0.5000 0.0000

Record 4
VASP calculation (PBEsol) on InBIr2Pd after structural relaxation.

energy relative to the elements	262.9	kJ/mol of atoms
VASP energy	-21.98	eV for the cell shown

Cell: 4.8312 4.8312 4.7751 Å, 90.00 90.00 90.00°
Fractional coordinates of all 5 atoms:
In 0.0000 0.0000 0.0000
B 0.5000 0.5000 0.5000
Ir 0.0000 0.5000 0.0000
Ir 0.5000 0.0000 0.0000
Pd 0.0000 0.0000 0.5000

Record 5
VASP calculation (PBEsol) on TlIn2Hg after structural relaxation.

energy relative to the elements	-0.2	kJ/mol of atoms
VASP energy	-9.17	eV for the cell shown

Cell: 6.0441 6.0441 5.4078 Å, 110.21 110.21 33.67°
Fractional coordinates of all 4 atoms:
Tl 0.0000 0.0000 0.0000
In 0.2372 0.2372 0.7389
In 0.7628 0.7628 0.2611
Hg 0.5000 0.5000 0.5000

Record 6
VASP calculation (PBEsol) on LaZrMn2 after structural relaxation.

energy relative to the elements	22.3	kJ/mol of atoms
VASP energy	-33.03	eV for the cell shown

Cell: 3.5433 5.7233 5.7233 Å, 42.41 90.00 90.00°
Fractional coordinates of all 4 atoms:
La 0.0000 0.0000 0.0000
Zr 0.5000 0.7117 0.7117
Mn 0.0000 0.2758 0.2758
Mn 0.5000 0.3812 0.3812

Record 7
VASP calculation (PBEsol) on HfNb3H after structural relaxation.

VASP energy	-34.09	eV for the cell shown

Cell: 4.8692 4.8692 4.8692 Å, 90.00 90.00 90.00°
Fractional coordinates of all 5 atoms:
Hf 0.0000 0.0000 0.0000
Nb 0.0000 0.0000 0.5000
Nb 0.0000 0.5000 0.0000
Nb 0.5000 0.0000 0.0000
H 0.5000 0.5000 0.5000

Record 8
VASP calculation (PBEsol) on FeRuRh after structural relaxation.

energy relative to the elements	75.7	kJ/mol of atoms
VASP energy	-24.92	eV for the cell shown

Cell: 4.0188 4.0188 4.0188 Å, 60.00 60.00 60.00°
Fractional coordinates of all 3 atoms:
Fe 0.0000 0.0000 0.0000
Ru 0.2500 0.2500 0.2500
Rh 0.5000 0.5000 0.5000

Record 9
VASP calculation (PBEsol) on GaAg3 after structural relaxation.

energy relative to the elements	-2.7	kJ/mol of atoms
VASP energy	-13.39	eV for the cell shown

Cell: 4.0231 4.0231 4.0231 Å, 90.00 90.00 90.00°
Fractional coordinates of all 4 atoms:
Ga 0.0000 0.0000 0.0000
Ag 0.0000 0.5000 0.5000
Ag 0.5000 0.0000 0.5000
Ag 0.5000 0.5000 0.0000

Record 10
VASP calculation (PBEsol) on InIrW after structural relaxation.

energy relative to the elements	29.7	kJ/mol of atoms
VASP energy	-25.69	eV for the cell shown

Cell: 4.4816 4.4816 2.8000 Å, 90.00 90.00 120.00°
Fractional coordinates of all 3 atoms:
In 0.0000 0.0000 0.0000
Ir 0.3333 0.6667 0.0000
W 0.6667 0.3333 0.5000

Record 11
VASP calculation (PBEsol) on AlIO2 after structural relaxation.

VASP energy	-44.52	eV for the cell shown
energy relative to the elements, uncorrected	-1.475	eV per atom

Cell: 5.6664 5.6664 5.6664 Å, 123.38 123.38 84.24°
Fractional coordinates of all 8 atoms:
Al 0.0000 0.0000 0.0000
Al 0.7500 0.2500 0.5000
I 0.2500 0.7500 0.5000
I 0.5000 0.5000 0.0000
O 0.3750 0.2010 0.3260
O 0.7990 0.1250 0.1740
O 0.8750 0.0490 0.6740
O 0.9510 0.6250 0.8260

Record 12
VASP calculation (PBEsol) on Ba5Mg after structural relaxation.

energy relative to the elements	4.2	kJ/mol of atoms
VASP energy	-12.20	eV for the cell shown

Cell: 7.1897 7.1897 6.6391 Å, 90.00 90.00 120.00°
Fractional coordinates of all 6 atoms:
Ba 0.0000 0.6833 0.0000
Ba 0.3167 0.3167 0.0000
Ba 0.3333 0.6667 0.5000
Ba 0.6667 0.3333 0.5000
Ba 0.6833 0.0000 0.0000
Mg 0.0000 0.0000 0.5000